KNaReIr: relaxed, PBE.

Values from the calculation:
E_tot   -74.59 eV/cell
Magnetic moment   0.1 μB per formula unit

Unit cell a=6.6072 b=6.6072 c=6.6072 alpha=90.00 beta=90.00 gamma=90.00
Last column: nearest neighbours and their distance in Å.
Space group F-43m (No. 216)
One atom of each set of equivalent atoms:
K 0.0000 0.0000 0.0000 (multiplicity 4)  4 Na 2.86, 4 Re 2.86
Na 0.2500 0.2500 0.2500 (multiplicity 4)  4 K 2.86, 4 Ir 2.86
Re 0.2500 0.2500 0.7500 (multiplicity 4)  4 K 2.86, 4 Ir 2.86
Ir 0.0000 0.0000 0.5000 (multiplicity 4)  4 Na 2.86, 4 Re 2.86